DFT (GGA-PBEsol) results for a relaxed structure of LaCrSe2O.

Cell lengths 6.1187, 6.1187, 8.2187 Å; angles 90.25, 90.25, 36.68 degrees
Sites, in units of the cell vectors:
La  0.2273  0.2273  0.3039
La  0.7727  0.7727  0.6961
Cr  0.0000  0.0000  0.0000
Cr  0.5000  0.5000  0.5000
Se  0.0460  0.0460  0.6988
Se  0.3616  0.3616  0.9738
Se  0.6384  0.6384  0.0262
Se  0.9540  0.9540  0.3012
O  0.3355  0.3355  0.5572
O  0.6645  0.6645  0.4428

Properties
As for the density of states at the Fermi level: 0.76 states/eV per cell. The value obtained for the volume is 18.4 Å³/atom. The space-group type is C2/m, No. 12. The calculation puts the raw formation energy at -42.3 kcal/mol of atoms. The value obtained for the final energy is -75.4 eV/cell.



DFT (GGA-PBEsol) results for a relaxed structure of LaCrSe2O.

Cell lengths 8.5795, 3.8164, 11.4048 Å; angles 90.00, 90.00, 90.00 degrees
Sites, in units of the cell vectors:
La  0.0489  0.2500  0.1420
La  0.4511  0.7500  0.6420
La  0.5489  0.2500  0.3580
La  0.9511  0.7500  0.8580
Cr  0.1777  0.2500  0.4714
Cr  0.3223  0.7500  0.9714
Cr  0.6777  0.2500  0.0286
Cr  0.8223  0.7500  0.5286
Se  0.0947  0.7500  0.6026
Se  0.2472  0.7500  0.3285
Se  0.2528  0.2500  0.8285
Se  0.4053  0.2500  0.1026
Se  0.5947  0.7500  0.8974
Se  0.7472  0.7500  0.1715
Se  0.7528  0.2500  0.6715
Se  0.9053  0.2500  0.3974
O  0.1110  0.7500  0.0342
O  0.3890  0.2500  0.5342
O  0.6110  0.7500  0.4658
O  0.8890  0.2500  0.9658

Properties
The value obtained for the volume is 18.7 Å³/atom. The space-group type is Pnma, No. 62. The calculation puts the raw formation energy at -42.3 kcal/mol of atoms. The value obtained for the final energy is -150.8 eV/cell.



DFT (GGA-PBEsol) results for a relaxed structure of La3SmCr4O12.

Cell lengths 5.4326, 7.6957, 5.4810 Å; angles 90.00, 90.08, 90.00 degrees
Sites, in units of the cell vectors:
La  0.0000  0.0000  0.0000
La  0.0152  0.5000  0.0763
La  0.5003  0.5000  0.5726
Sm  0.5187  0.0000  0.4884
Cr  0.0079  0.2476  0.5384
Cr  0.0079  0.7524  0.5384
Cr  0.5063  0.2484  0.0356
Cr  0.5063  0.7516  0.0356
O  0.0965  0.0000  0.5505
O  0.2171  0.2889  0.8270
O  0.2171  0.7111  0.8270
O  0.2950  0.2874  0.3253
O  0.2950  0.7126  0.3253
O  0.4336  0.0000  0.0617
O  0.5810  0.5000  0.0229
O  0.7150  0.2036  0.7458
O  0.7150  0.7964  0.7458
O  0.7898  0.2065  0.2550
O  0.7898  0.7935  0.2550
O  0.9346  0.5000  0.5259

Properties
The value obtained for the volume is 11.5 Å³/atom. The space-group type is Pm, No. 6. The calculation puts the raw formation energy at -64.3 kcal/mol of atoms. The value obtained for the final energy is -180.9 eV/cell.